Below is crystalline SmNp3Tl3Se8 at its relaxed geometry, with properties calculated at the PBE level.

Results
**Formation energy without anion corrections**: -1.072 eV per atom
**Density of states at the Fermi level**: 28.7 states/eV/cell
**Energy**: -94.6 eV per cell
**Magnetic moment**: 11.0 μB/f.u.

POSCAR file:
```
SmNp3Tl3Se8
1.0
-0.908 8.249 1.355
-3.738 -3.612 -6.613
-3.483 -1.742 8.273
Sm Np Tl Se
1 3 3 8
direct
0.000 0.000 0.500
0.500 0.000 0.500
0.500 0.500 0.500
0.000 0.500 0.500
0.000 0.000 0.000
0.000 0.500 0.000
0.500 0.500 0.000
0.266 0.532 0.298
0.734 0.468 0.702
0.762 0.524 0.296
0.238 0.476 0.704
0.762 0.034 0.296
0.238 0.966 0.704
0.272 0.034 0.296
0.728 0.966 0.704
```


Below is crystalline NdSmHo2Te6 at its relaxed geometry, with properties calculated at the PBE level.

Results
**Formation energy without anion corrections**: -1.365 eV per atom
**Energy**: -51.1 eV per cell
**Magnetic moment**: 0.0 μB/f.u.

POSCAR file:
```
NdSmHo2Te6
1.0
7.793 0.000 0.000
3.896 6.749 0.000
3.896 2.250 7.059
Nd Sm Ho Te
1 1 2 6
direct
0.819 0.819 0.543
0.320 0.320 0.039
0.509 0.509 0.473
0.008 0.008 0.976
0.612 0.237 0.247
0.237 0.904 0.247
0.904 0.612 0.247
0.399 0.736 0.747
0.736 0.118 0.747
0.118 0.399 0.747
```


Below is crystalline ZnPAuO2 at its relaxed geometry, with properties calculated at the PBE level.

Results
**E above lowest polymorph**: 0.275 eV/atom
**Formation energy without anion corrections**: 0.545 eV per atom
**Density of states at the Fermi level**: 4.9 states/eV/cell
**Energy**: -17.2 eV per cell
**Magnetic moment**: 0.6 μB/f.u.

POSCAR file:
```
ZnPAuO2
1.0
-2.997 -2.059 -1.560
1.266 -3.253 1.863
-2.937 1.190 4.073
P Zn Au O
1 1 1 2
direct
0.000 0.000 0.500
0.500 0.500 0.500
0.000 0.000 0.000
0.000 0.500 0.000
0.500 0.000 0.000
```


Below is crystalline MgSi2Sn at its relaxed geometry, with properties calculated at the PBE level.

Results
**E above lowest polymorph**: 0.108 eV/atom
**Formation energy without anion corrections**: 0.480 eV per atom
**Density of states at the Fermi level**: 4.3 states/eV/cell
**Energy**: -29.0 eV per cell
**Magnetic moment**: 0.0 μB/f.u.

POSCAR file:
```
MgSi2Sn
1.0
-1.371 -4.321 -4.526
-3.582 -3.258 4.195
-6.845 -0.870 -1.629
Mg Si Sn
2 4 2
direct
0.500 0.500 0.000
0.250 0.750 0.500
0.633 0.125 0.250
0.117 0.625 0.250
0.375 0.367 0.750
0.875 0.883 0.750
0.000 0.000 0.000
0.750 0.250 0.500
```


Below is crystalline Y2C at its relaxed geometry, with properties calculated at the PBE level.

Results
**Density of states at the Fermi level**: 3.6 states/eV/cell
**Energy**: -44.6 eV per cell
**Magnetic moment**: 0.0 μB/f.u.

POSCAR file:
```
Y2C
1.0
1.710 5.125 0.003
-1.710 5.125 0.003
0.000 4.897 7.837
Y C
4 2
direct
0.797 0.797 0.654
0.584 0.584 0.099
0.416 0.416 0.901
0.203 0.203 0.346
0.193 0.193 0.869
0.807 0.807 0.131
```


Below is crystalline CaTa5 at its relaxed geometry, with properties calculated at the PBE level.

Results
**E above lowest polymorph**: 0.080 eV/atom
**Density of states at the Fermi level**: 7.2 states/eV/cell
**Energy**: -58.2 eV per cell
**Magnetic moment**: 0.0 μB/f.u.

POSCAR file:
```
CaTa5
1.0
1.392 5.917 0.018
-1.392 5.917 0.018
0.000 1.622 7.282
Ca Ta
1 5
direct
0.008 0.008 0.979
0.336 0.336 0.328
0.682 0.682 0.639
0.606 0.606 0.308
0.938 0.938 0.615
0.263 0.263 0.965
```


Below is crystalline Li2DySc3Te6 at its relaxed geometry, with properties calculated at the PBE level.

Results
**Formation energy without anion corrections**: -1.208 eV per atom
**Density of states at the Fermi level**: 4.4 states/eV/cell
**Energy**: -60.8 eV per cell
**Magnetic moment**: 0.0 μB/f.u.

POSCAR file:
```
Li2DySc3Te6
1.0
7.245 -0.001 -0.003
-3.621 6.275 -0.003
-1.212 -2.099 6.978
Li Dy Sc Te
2 1 3 6
direct
0.330 0.670 0.000
0.670 0.330 0.000
0.000 0.000 0.000
0.162 0.838 0.500
0.838 0.162 0.500
0.500 0.500 0.500
0.915 0.574 0.744
0.742 0.742 0.252
0.085 0.426 0.256
0.574 0.915 0.744
0.258 0.258 0.748
0.426 0.085 0.256
```


Below is crystalline YU2Re9 at its relaxed geometry, with properties calculated at the PBE level.

Results
**Density of states at the Fermi level**: 12.5 states/eV/cell
**Energy**: -140.6 eV per cell
**Magnetic moment**: 1.1 μB/f.u.

POSCAR file:
```
YU2Re9
1.0
5.016 0.000 1.492
2.286 4.464 1.492
-0.135 -0.083 9.625
Y U Re
1 2 9
direct
0.000 0.000 0.000
0.852 0.852 0.445
0.148 0.148 0.555
0.665 0.665 0.005
0.335 0.335 0.995
0.500 0.500 0.500
0.416 0.416 0.248
0.921 0.416 0.248
0.416 0.921 0.248
0.584 0.584 0.752
0.584 0.079 0.752
0.079 0.584 0.752
```